--- 1 ---
# Sm6HoTl5

A relaxed Sm6HoTl5 crystal (GGA-PBE, Alexandria via LeMat-Bulk).

Calculated values
The size of the total moment comes out at 0.00 μB per formula unit. For the calculated volume, the calculation gives 351.1 Å³/cell. The calculation puts the mass density at 9.88 Mg/m³.

Geometry as POSCAR:
```
Sm6HoTl5
1.0
-2.531 4.510 7.691
2.531 -4.510 7.691
2.531 4.510 -7.691
Sm Ho Tl
6 1 5
Direct
0.067 0.329 0.738
0.231 0.000 0.231
0.409 0.671 0.738
0.591 0.329 0.262
0.769 0.000 0.769
0.933 0.671 0.262
0.500 0.500 0.000
0.000 0.500 0.500
0.175 0.175 0.000
0.351 0.851 0.500
0.649 0.149 0.500
0.825 0.825 0.000
```

***

--- 2 ---
# Sm6HoTl5

A relaxed Sm6HoTl5 crystal (GGA-PBE, Alexandria via LeMat-Bulk).

Calculated values
The size of the total moment comes out at 0.00 μB per formula unit. For the calculated volume, the calculation gives 371.9 Å³/cell. The calculation puts the mass density at 9.33 Mg/m³.

Geometry as POSCAR:
```
Sm6HoTl5
1.0
5.227 -5.758 0.000
5.227 5.758 0.000
-1.434 0.000 6.179
Sm Ho Tl
6 1 5
Direct
0.045 0.405 0.733
0.220 0.220 0.217
0.405 0.045 0.733
0.595 0.955 0.267
0.780 0.780 0.783
0.955 0.595 0.267
0.500 0.500 0.000
0.000 0.000 0.500
0.207 0.793 0.000
0.364 0.636 0.500
0.636 0.364 0.500
0.793 0.207 0.000
```

***

Ranked by calculated energy, most stable first: 1, 2.

***

--- 1 ---
# Sm5Ho4Tl

A relaxed Sm5Ho4Tl crystal (GGA-PBE, Alexandria via LeMat-Bulk).

Calculated values
The size of the total moment comes out at 0.00 μB per formula unit. For the calculated volume, the calculation gives 334.3 Å³/cell. The calculation puts the mass density at 8.03 Mg/m³.

Geometry as POSCAR:
```
Sm5Ho4Tl
1.0
-5.317 5.317 2.956
5.317 -5.317 2.956
5.317 5.317 -2.956
Sm Ho Tl
5 4 1
Direct
0.000 0.000 0.000
0.099 0.099 0.626
0.099 0.474 0.000
0.474 0.099 0.000
0.474 0.474 0.374
0.119 0.800 0.319
0.481 0.800 0.681
0.800 0.119 0.319
0.800 0.481 0.681
0.521 0.521 0.000
```

***

--- 2 ---
# Sm5Ho4Tl

A relaxed Sm5Ho4Tl crystal (GGA-PBE, Alexandria via LeMat-Bulk).

Calculated values
The size of the total moment comes out at 0.00 μB per formula unit. For the calculated volume, the calculation gives 317.0 Å³/cell. The calculation puts the mass density at 8.47 Mg/m³.

Geometry as POSCAR:
```
Sm5Ho4Tl
1.0
4.152 0.000 0.000
0.000 4.152 0.000
0.000 0.000 18.383
Sm Ho Tl
5 4 1
Direct
0.000 0.000 0.000
0.000 0.000 0.203
0.000 0.000 0.409
0.000 0.000 0.591
0.000 0.000 0.797
0.500 0.500 0.102
0.500 0.500 0.303
0.500 0.500 0.697
0.500 0.500 0.898
0.500 0.500 0.500
```

***

Ranked by calculated energy, most stable first: 2, 1.

***

--- 1 ---
# Sm4HoTl

A relaxed Sm4HoTl crystal (GGA-PBE, Alexandria via LeMat-Bulk).

Calculated values
The size of the total moment comes out at 0.00 μB per formula unit. For the calculated volume, the calculation gives 190.8 Å³/cell. The calculation puts the mass density at 8.45 Mg/m³.

Geometry as POSCAR:
```
Sm4HoTl
1.0
4.111 0.000 0.000
0.000 4.111 0.000
0.000 0.000 11.290
Sm Ho Tl
4 1 1
Direct
0.000 0.000 0.148
0.000 0.000 0.852
0.500 0.500 0.335
0.500 0.500 0.665
0.000 0.000 0.500
0.500 0.500 0.000
```

***

--- 2 ---
# Sm4HoTl

A relaxed Sm4HoTl crystal (GGA-PBE, Alexandria via LeMat-Bulk).

Calculated values
The size of the total moment comes out at 0.00 μB per formula unit. For the calculated volume, the calculation gives 390.2 Å³/cell. The calculation puts the mass density at 8.26 Mg/m³.

Geometry as POSCAR:
```
Sm4HoTl
1.0
4.425 -7.139 0.000
4.425 7.139 0.000
-2.173 0.000 6.175
Sm Ho Tl
8 2 2
Direct
0.094 0.713 0.957
0.165 0.408 0.621
0.287 0.906 0.543
0.408 0.165 0.121
0.592 0.835 0.879
0.713 0.094 0.457
0.835 0.592 0.379
0.906 0.287 0.043
0.411 0.589 0.250
0.589 0.411 0.750
0.000 0.000 0.250
0.000 0.000 0.750
```

***

Ranked by calculated energy, most stable first: 1, 2.

***

--- 1 ---
# SmHo3Tl2

A relaxed SmHo3Tl2 crystal (GGA-PBE, Alexandria via LeMat-Bulk).

Calculated values
The size of the total moment comes out at 0.38 μB per formula unit. For the calculated volume, the calculation gives 356.0 Å³/cell. The calculation puts the mass density at 9.83 Mg/m³.

Geometry as POSCAR:
```
SmHo3Tl2
1.0
8.193 -2.691 0.000
8.193 2.691 0.000
-4.571 0.000 8.071
Sm Ho Tl
2 6 4
Direct
0.131 0.131 0.171
0.869 0.869 0.829
0.059 0.059 0.715
0.307 0.307 0.009
0.384 0.384 0.457
0.616 0.616 0.543
0.693 0.693 0.991
0.941 0.941 0.285
0.222 0.222 0.594
0.480 0.480 0.827
0.520 0.520 0.173
0.778 0.778 0.406
```

***

--- 2 ---
# SmHo3Tl2

A relaxed SmHo3Tl2 crystal (GGA-PBE, Alexandria via LeMat-Bulk).

Calculated values
The size of the total moment comes out at 0.00 μB per formula unit. For the calculated volume, the calculation gives 348.3 Å³/cell. The calculation puts the mass density at 10.05 Mg/m³.

Geometry as POSCAR:
```
SmHo3Tl2
1.0
5.108 0.000 0.000
0.000 9.987 0.000
0.000 0.000 6.828
Sm Ho Tl
2 6 4
Direct
0.000 0.043 0.000
0.000 0.957 0.500
0.000 0.316 0.622
0.000 0.684 0.122
0.500 0.191 0.280
0.500 0.456 0.906
0.500 0.544 0.406
0.500 0.809 0.780
0.000 0.367 0.161
0.000 0.633 0.661
0.500 0.136 0.740
0.500 0.864 0.240
```

***

Ranked by calculated energy, most stable first: 2, 1.

***

--- 1 ---
# Sm2Ho2Tl3

A relaxed Sm2Ho2Tl3 crystal (GGA-PBE, Alexandria via LeMat-Bulk).

Calculated values
The size of the total moment comes out at 0.39 μB per formula unit. For the calculated volume, the calculation gives 202.7 Å³/cell. The calculation puts the mass density at 10.19 Mg/m³.

Geometry as POSCAR:
```
Sm2Ho2Tl3
1.0
3.798 0.000 0.000
1.897 6.255 0.000
0.006 0.846 8.531
Sm Ho Tl
2 2 3
Direct
0.204 0.093 0.157
0.796 0.907 0.843
0.065 0.369 0.717
0.935 0.631 0.283
0.353 0.794 0.545
0.500 0.500 0.000
0.647 0.206 0.455
```

***

--- 2 ---
# Sm2Ho2Tl3

A relaxed Sm2Ho2Tl3 crystal (GGA-PBE, Alexandria via LeMat-Bulk).

Calculated values
The size of the total moment comes out at 0.19 μB per formula unit. For the calculated volume, the calculation gives 205.0 Å³/cell. The calculation puts the mass density at 10.08 Mg/m³.

Geometry as POSCAR:
```
Sm2Ho2Tl3
1.0
1.767 -16.165 0.000
1.767 16.165 0.000
0.000 0.000 3.587
Sm Ho Tl
2 2 3
Direct
0.069 0.931 0.000
0.931 0.069 0.000
0.202 0.798 0.000
0.798 0.202 0.000
0.362 0.638 0.500
0.500 0.500 0.500
0.638 0.362 0.500
```

***

Ranked by calculated energy, most stable first: 1, 2.

***

--- 1 ---
# Sm3HoTl4

A relaxed Sm3HoTl4 crystal (GGA-PBE, Alexandria via LeMat-Bulk).

Calculated values
The size of the total moment comes out at 0.00 μB per formula unit. For the calculated volume, the calculation gives 226.8 Å³/cell. The calculation puts the mass density at 10.50 Mg/m³.

Geometry as POSCAR:
```
Sm3HoTl4
1.0
3.831 0.000 0.000
0.000 3.831 0.000
0.000 0.000 15.451
Sm Ho Tl
3 1 4
Direct
0.000 0.000 0.000
0.000 0.000 0.254
0.000 0.000 0.746
0.000 0.000 0.500
0.500 0.500 0.127
0.500 0.500 0.381
0.500 0.500 0.619
0.500 0.500 0.873
```

***

--- 2 ---
# Sm3HoTl4

A relaxed Sm3HoTl4 crystal (GGA-PBE, Alexandria via LeMat-Bulk).

Calculated values
The size of the total moment comes out at 0.00 μB per formula unit. For the calculated volume, the calculation gives 459.1 Å³/cell. The calculation puts the mass density at 10.37 Mg/m³.

Geometry as POSCAR:
```
Sm3HoTl4
1.0
10.047 0.000 0.000
0.000 6.768 0.000
0.000 0.000 6.751
Sm Ho Tl
6 2 8
Direct
0.000 0.001 0.000
0.250 0.251 0.749
0.250 0.749 0.249
0.500 0.999 0.500
0.750 0.251 0.749
0.750 0.749 0.249
0.000 0.501 0.998
0.500 0.499 0.498
0.000 0.000 0.500
0.000 0.499 0.498
0.250 0.252 0.249
0.250 0.748 0.749
0.500 0.000 0.000
0.500 0.501 0.998
0.750 0.252 0.249
0.750 0.748 0.749
```

***

Ranked by calculated energy, most stable first: 1, 2.

***

--- 1 ---
# Sm2Ho3Tl4

A relaxed Sm2Ho3Tl4 crystal (GGA-PBE, Alexandria via LeMat-Bulk).

Calculated values
The size of the total moment comes out at 0.00 μB per formula unit. For the calculated volume, the calculation gives 257.9 Å³/cell. The calculation puts the mass density at 10.39 Mg/m³.

Geometry as POSCAR:
```
Sm2Ho3Tl4
1.0
4.577 -2.646 0.000
4.577 2.646 0.000
-0.018 0.000 10.647
Sm Ho Tl
2 3 4
Direct
0.167 0.167 0.277
0.833 0.833 0.723
0.167 0.167 0.926
0.500 0.500 0.500
0.833 0.833 0.074
0.167 0.167 0.603
0.500 0.500 0.152
0.500 0.500 0.848
0.833 0.833 0.397
```

***

--- 2 ---
# Sm2Ho3Tl4

A relaxed Sm2Ho3Tl4 crystal (GGA-PBE, Alexandria via LeMat-Bulk).

Calculated values
The size of the total moment comes out at 0.00 μB per formula unit. For the calculated volume, the calculation gives 538.7 Å³/cell. The calculation puts the mass density at 9.94 Mg/m³.

Geometry as POSCAR:
```
Sm2Ho3Tl4
1.0
3.582 -8.211 0.000
3.582 8.211 0.000
0.000 0.000 9.156
Sm Ho Tl
4 6 8
Direct
0.110 0.890 0.924
0.390 0.610 0.424
0.610 0.390 0.576
0.890 0.110 0.076
0.000 0.000 0.500
0.036 0.464 0.750
0.464 0.036 0.250
0.500 0.500 0.000
0.536 0.964 0.750
0.964 0.536 0.250
0.187 0.813 0.542
0.222 0.278 0.750
0.278 0.222 0.250
0.313 0.687 0.042
0.687 0.313 0.958
0.722 0.778 0.750
0.778 0.722 0.250
0.813 0.187 0.458
```

***

Ranked by calculated energy, most stable first: 1, 2.

***

--- 1 ---
# Sm2HoTl3

A relaxed Sm2HoTl3 crystal (GGA-PBE, Alexandria via LeMat-Bulk).

Calculated values
The size of the total moment comes out at 0.00 μB per formula unit. For the calculated volume, the calculation gives 169.4 Å³/cell. The calculation puts the mass density at 10.58 Mg/m³.

Geometry as POSCAR:
```
Sm2HoTl3
1.0
3.799 0.000 0.000
0.000 3.799 0.000
0.000 0.000 11.737
Sm Ho Tl
2 1 3
Direct
0.000 0.000 0.170
0.000 0.000 0.830
0.000 0.000 0.500
0.500 0.500 0.000
0.500 0.500 0.341
0.500 0.500 0.659
```

***

--- 2 ---
# Sm2HoTl3

A relaxed Sm2HoTl3 crystal (GGA-PBE, Alexandria via LeMat-Bulk).

Calculated values
The size of the total moment comes out at 0.00 μB per formula unit. For the calculated volume, the calculation gives 363.1 Å³/cell. The calculation puts the mass density at 9.87 Mg/m³.

Geometry as POSCAR:
```
Sm2HoTl3
1.0
1.860 -14.491 0.000
1.860 14.491 0.000
0.000 0.000 6.736
Sm Ho Tl
4 2 6
Direct
0.005 0.995 0.750
0.153 0.847 0.250
0.847 0.153 0.750
0.995 0.005 0.250
0.332 0.668 0.250
0.668 0.332 0.750
0.255 0.745 0.750
0.423 0.577 0.509
0.423 0.577 0.991
0.577 0.423 0.009
0.577 0.423 0.491
0.745 0.255 0.250
```

***

Ranked by calculated energy, most stable first: 1, 2.

***

--- 1 ---
# SmHo4Tl

A relaxed SmHo4Tl crystal (GGA-PBE, Alexandria via LeMat-Bulk).

Calculated values
The size of the total moment comes out at 0.00 μB per formula unit. For the calculated volume, the calculation gives 182.7 Å³/cell. The calculation puts the mass density at 9.22 Mg/m³.

Geometry as POSCAR:
```
SmHo4Tl
1.0
3.587 0.000 0.000
0.000 3.587 0.000
0.000 0.000 14.194
Sm Ho Tl
1 4 1
Direct
0.000 0.000 0.000
0.000 0.000 0.351
0.000 0.000 0.649
0.500 0.500 0.178
0.500 0.500 0.822
0.500 0.500 0.500
```

***

--- 2 ---
# SmHo4Tl

A relaxed SmHo4Tl crystal (GGA-PBE, Alexandria via LeMat-Bulk).

Calculated values
The size of the total moment comes out at 0.00 μB per formula unit. For the calculated volume, the calculation gives 371.4 Å³/cell. The calculation puts the mass density at 9.07 Mg/m³.

Geometry as POSCAR:
```
SmHo4Tl
1.0
4.331 -7.034 0.000
4.331 7.034 0.000
-2.062 0.000 6.096
Sm Ho Tl
2 8 2
Direct
0.089 0.911 0.750
0.911 0.089 0.250
0.088 0.342 0.881
0.214 0.594 0.459
0.342 0.088 0.381
0.406 0.786 0.041
0.594 0.214 0.959
0.658 0.912 0.619
0.786 0.406 0.541
0.912 0.658 0.119
0.500 0.500 0.250
0.500 0.500 0.750
```

***

Ranked by calculated energy, most stable first: 1, 2.

***

--- 1 ---
# SmHoTmTl

A relaxed SmHoTmTl crystal (GGA-PBE, Alexandria via LeMat-Bulk).

Calculated values
The size of the total moment comes out at 0.72 μB per formula unit. For the calculated volume, the calculation gives 114.5 Å³/cell. The calculation puts the mass density at 9.98 Mg/m³.

Geometry as POSCAR:
```
SmHoTmTl
1.0
4.823 0.000 0.000
0.000 4.867 0.000
0.000 0.000 4.879
Sm Ho Tm Tl
1 1 1 1
Direct
0.000 0.000 0.000
0.500 0.500 0.000
0.500 0.000 0.500
0.000 0.500 0.500
```

***

--- 2 ---
# SmHoTmTl

A relaxed SmHoTmTl crystal (GGA-PBE, Alexandria via LeMat-Bulk).

Calculated values
The size of the total moment comes out at 1.21 μB per formula unit. For the calculated volume, the calculation gives 116.0 Å³/cell. The calculation puts the mass density at 9.86 Mg/m³.

Geometry as POSCAR:
```
SmHoTmTl
1.0
0.000 3.871 3.871
3.871 0.000 3.871
3.871 3.871 0.000
Sm Ho Tm Tl
1 1 1 1
Direct
0.000 0.000 0.000
0.500 0.500 0.500
0.250 0.250 0.250
0.750 0.750 0.750
```

***

Ranked by calculated energy, most stable first: 1, 2.

***

--- 1 ---
# SmHoTlZn

A relaxed SmHoTlZn crystal (GGA-PBE, Alexandria via LeMat-Bulk).

Calculated values
The size of the total moment comes out at 0.00 μB per formula unit. For the calculated volume, the calculation gives 102.3 Å³/cell. The calculation puts the mass density at 9.50 Mg/m³.

Geometry as POSCAR:
```
SmHoTlZn
1.0
3.691 0.000 0.000
0.000 3.691 0.000
0.000 0.000 7.507
Sm Ho Tl Zn
1 1 1 1
Direct
0.000 0.000 0.000
0.000 0.000 0.544
0.500 0.500 0.281
0.500 0.500 0.759
```

***

--- 2 ---
# SmHoTlZn

A relaxed SmHoTlZn crystal (GGA-PBE, Alexandria via LeMat-Bulk).

Calculated values
The size of the total moment comes out at 0.00 μB per formula unit. For the calculated volume, the calculation gives 103.6 Å³/cell. The calculation puts the mass density at 9.38 Mg/m³.

Geometry as POSCAR:
```
SmHoTlZn
1.0
0.000 3.728 3.728
3.728 0.000 3.728
3.728 3.728 0.000
Sm Ho Tl Zn
1 1 1 1
Direct
0.000 0.000 0.000
0.500 0.500 0.500
0.250 0.250 0.250
0.750 0.750 0.750
```

***

Ranked by calculated energy, most stable first: 1, 2.